No. 1
# YHfCdRh2

A PBEsol-optimized structure of YHfCdRh2 (meta-GGA SCAN, the Alexandria database).

Geometry as POSCAR:
```
YHfCdRh2
1.0
4.6875 0.0000 0.0000
0.0000 4.6875 0.0000
0.0000 0.0000 5.2558
Y Hf Cd Rh
1 1 1 2
Cartesian
0.0000 0.0000 0.0000
2.3437 2.3437 2.6279
2.3437 2.3437 0.0000
0.0000 2.3437 2.6279
2.3437 0.0000 2.6279
```

Summary:
Total moment ... 0.00 μB per formula unit
Space-group type ... No. 123
Energy relative to the elements ... 161 meV per atom


No. 2
# GaHgSb2

A PBEsol-optimized structure of GaHgSb2 (meta-GGA SCAN, the Alexandria database).

Geometry as POSCAR:
```
GaHgSb2
1.0
0.0000 3.6082 3.6082
3.6082 0.0000 3.6082
3.6082 3.6082 0.0000
Ga Hg Sb
1 1 2
Cartesian
0.0000 0.0000 0.0000
3.6082 3.6082 3.6082
1.8041 1.8041 1.8041
5.4123 5.4123 5.4123
```

Summary:
Total moment ... 0.00 μB per formula unit
ΔE_f (raw) ... 259.9 meV per atom
Space-group type ... No. 225


No. 3
# ScSi2Mo

A PBEsol-optimized structure of ScSi2Mo (meta-GGA SCAN, the Alexandria database).

Geometry as POSCAR:
```
ScSi2Mo
1.0
0.0000 3.1118 3.1118
3.1118 0.0000 3.1118
3.1118 3.1118 0.0000
Sc Si Mo
1 2 1
Cartesian
0.0000 0.0000 0.0000
1.5559 1.5559 1.5559
4.6676 4.6676 4.6676
3.1118 3.1118 3.1118
```

Summary:
Total moment ... 0.00 μB per formula unit
ΔE_f (raw) ... -194.5 meV per atom
Space-group type ... No. 225


No. 4
# K2TcMo

A PBEsol-optimized structure of K2TcMo (meta-GGA SCAN, the Alexandria database).

Geometry as POSCAR:
```
K2TcMo
1.0
1.6785 0.9691 11.6783
-1.6785 0.9691 11.6783
0.0000 -1.9381 11.6783
K Tc Mo
2 1 1
Cartesian
0.0000 0.0000 0.0000
0.0000 0.0000 7.4623
0.0000 0.0000 16.2090
0.0000 0.0000 26.4846
```

Summary:
Total moment ... 0.08 μB per formula unit
Space-group type ... No. 160
Energy relative to the elements ... 890 meV per atom